TlCr | GGA-PBEsol | optimized geometry

Lattice parameters (Å, degrees): 2.9772 2.9772 8.1469 90.00 90.00 90.00
Last column: nearest neighbours and their distance in Å.
Positions (direct):
1 Tl 0.2500 0.2500 0.1793  5 Cr 2.96-3.14, 4 Tl 2.98
2 Tl 0.7500 0.7500 0.8207  5 Cr 2.96-3.14, 4 Tl 2.98
3 Cr 0.2500 0.2500 0.5644  4 Cr 2.35
4 Cr 0.7500 0.7500 0.4356  4 Cr 2.35

Computed properties:
N(E_F): 1.232 states/eV per atom
Uncorrected energy: -5.867 eV/atom

TlCr3 | GGA-PBEsol | optimized geometry

Lattice parameters (Å, degrees): 3.1267 3.1267 5.7822 90.00 90.00 90.00
Last column: nearest neighbours and their distance in Å.
Positions (direct):
1 Tl 0.0000 0.0000 0.0000  10 Cr 2.88-2.89, 4 Tl 3.13
2 Cr 0.0000 0.0000 0.5000  8 Cr 2.44
3 Cr 0.5000 0.5000 0.3197  1 Cr 2.08
4 Cr 0.5000 0.5000 0.6803  1 Cr 2.08

Computed properties:
N(E_F): 0.760 states/eV per atom
Uncorrected energy: -7.852 eV/atom

TlCr | GGA-PBEsol | optimized geometry

Lattice parameters (Å, degrees): 3.0520 3.0520 9.1826 90.00 90.00 120.00
Last column: nearest neighbours and their distance in Å.
Positions (direct):
1 Tl 0.3333 0.6667 0.1600  3 Cr 3.00, 6 Tl 3.05
2 Tl 0.6667 0.3333 0.8400  3 Cr 3.00, 6 Tl 3.05
3 Cr 0.3333 0.6667 0.5752  3 Cr 2.24
4 Cr 0.6667 0.3333 0.4248  3 Cr 2.24

Computed properties:
N(E_F): 0.799 states/eV per atom
Uncorrected energy: -5.800 eV/atom

TlCr3 | GGA-PBEsol | optimized geometry

Lattice parameters (Å, degrees): 2.9182 2.9182 7.8321 90.00 90.00 120.00
Last column: nearest neighbours and their distance in Å.
Positions (direct):
1 Tl 0.0000 0.0000 0.0000  6 Cr 2.88, 6 Tl 2.92
2 Cr 0.0000 0.0000 0.5000  6 Cr 2.31
3 Cr 0.6667 0.3333 0.2977  3 Cr 2.31
4 Cr 0.6667 0.3333 0.7023  3 Cr 2.31

Computed properties:
N(E_F): 0.879 states/eV per atom
Uncorrected energy: -7.651 eV/atom